Entry 1:
# PBE-GGA Na2SrTl2Cd2, optimized geometry
# Calculated formation energy, eV/atom: -0.1988
# Uncorrected energy, eV per atom: -1.75
# Total magnetic moment, μB per formula unit: 0.0
data_Na2SrTl2Cd2
_chemical_formula_sum 'Na6 Sr3 Tl6 Cd6'
_cell_length_a 5.2536
_cell_length_b 5.2536
_cell_length_c 25.6521
_cell_angle_alpha 90.00
_cell_angle_beta 90.00
_cell_angle_gamma 120.00
_symmetry_space_group_name_H-M 'R -3 m'
_symmetry_Int_Tables_number 166
_symmetry_space_group_name_Hall '-R 3 2"'
loop_
_atom_site_label
_atom_site_fract_x
_atom_site_fract_y
_atom_site_fract_z
Na1 0.0000 0.0000 0.1379
Sr1 0.0000 0.0000 0.0000
Tl1 0.0000 0.0000 0.4044
Cd1 0.0000 0.0000 0.2658

=====

Entry 2:
# PBE-GGA VGe4Mo, optimized geometry
# Calculated formation energy, eV/atom: -0.1459
# Uncorrected energy, eV per atom: -6.55
# Total magnetic moment, μB per formula unit: 0.0
data_VGe4Mo
_chemical_formula_sum 'V2 Ge8 Mo2'
_cell_length_a 8.9124
_cell_length_b 3.3153
_cell_length_c 6.6130
_cell_angle_alpha 90.00
_cell_angle_beta 111.76
_cell_angle_gamma 90.00
_symmetry_space_group_name_H-M 'C 1 2/m 1'
_symmetry_Int_Tables_number 12
_symmetry_space_group_name_Hall '-C 2y'
loop_
_atom_site_label
_atom_site_fract_x
_atom_site_fract_y
_atom_site_fract_z
V1 0.0000 0.0000 0.0000
Ge1 0.1614 0.5000 0.3270
Ge2 0.1613 0.5000 0.8343
Mo1 0.0000 0.0000 0.5000

=====

Entry 3:
# PBE-GGA AlTcOF2, optimized geometry
# Relative energy among the computed polymorphs, eV/atom: 0.0000
# Uncorrected energy, eV per atom: -6.01
# Total magnetic moment, μB per formula unit: 4.3
# Energy relative to the elements, uncorrected, eV/f.u.: -7.2
data_AlTcOF2
_chemical_formula_sum 'Al1 Tc1 O1 F2'
_cell_length_a 4.0788
_cell_length_b 4.0788
_cell_length_c 3.5334
_cell_angle_alpha 90.00
_cell_angle_beta 90.00
_cell_angle_gamma 90.00
_symmetry_space_group_name_H-M 'P 4/m m m'
_symmetry_Int_Tables_number 123
_symmetry_space_group_name_Hall '-P 4 2'
loop_
_atom_site_label
_atom_site_fract_x
_atom_site_fract_y
_atom_site_fract_z
Al1 0.0000 0.0000 0.0000
Tc1 0.5000 0.5000 0.5000
O1 0.0000 0.0000 0.5000
F1 0.0000 0.5000 0.0000

=====

Entry 4:
# PBE-GGA SrMgCd2Hg2, optimized geometry
# Calculated formation energy, eV/atom: -0.2902
# Uncorrected energy, eV per atom: -1.24
# Total magnetic moment, μB per formula unit: 0.0
data_SrMgCd2Hg2
_chemical_formula_sum 'Sr1 Mg1 Cd2 Hg2'
_cell_length_a 4.9447
_cell_length_b 4.9447
_cell_length_c 7.4121
_cell_angle_alpha 90.00
_cell_angle_beta 90.00
_cell_angle_gamma 120.00
_symmetry_space_group_name_H-M 'P -3 m 1'
_symmetry_Int_Tables_number 164
_symmetry_space_group_name_Hall '-P 3 2"'
loop_
_atom_site_label
_atom_site_fract_x
_atom_site_fract_y
_atom_site_fract_z
Sr1 0.0000 0.0000 0.0000
Mg1 0.0000 0.0000 0.5000
Cd1 0.3333 0.6667 0.6985
Hg1 0.3333 0.6667 0.2651

=====

Entry 5:
# PBE-GGA CsRbZnGeO, optimized geometry
# Relative energy among the computed polymorphs, eV/atom: 0.0427
# Uncorrected energy, eV per atom: -3.10
# Total magnetic moment, μB per formula unit: 0.0
# Energy relative to the elements, uncorrected, eV/f.u.: -2.8
data_CsRbZnGeO
_chemical_formula_sum 'Cs2 Rb2 Zn2 Ge2 O2'
_cell_length_a 12.2648
_cell_length_b 4.4821
_cell_length_c 6.4589
_cell_angle_alpha 90.00
_cell_angle_beta 117.68
_cell_angle_gamma 90.00
_symmetry_space_group_name_H-M 'C 1 m 1'
_symmetry_Int_Tables_number 8
_symmetry_space_group_name_Hall 'C -2y'
loop_
_atom_site_label
_atom_site_fract_x
_atom_site_fract_y
_atom_site_fract_z
Cs1 0.0000 0.0000 0.0000
Rb1 0.3218 0.5000 0.3756
Zn1 0.1194 0.5000 0.6278
Ge1 0.2196 0.0000 0.7595
O1 0.3425 0.0000 0.6734

=====

Entry 6:
# PBE-GGA Pm5BiAu2, optimized geometry
# Calculated formation energy, eV/atom: -0.6543
# Uncorrected energy, eV per atom: -4.93
# Total magnetic moment, μB per formula unit: 0.0
data_Pm5BiAu2
_chemical_formula_sum 'Pm20 Bi4 Au8'
_cell_length_a 8.3687
_cell_length_b 8.3687
_cell_length_c 13.4494
_cell_angle_alpha 90.00
_cell_angle_beta 90.00
_cell_angle_gamma 90.00
_symmetry_space_group_name_H-M 'I 4/m c m'
_symmetry_Int_Tables_number 140
_symmetry_space_group_name_Hall '-I 4 2c'
loop_
_atom_site_label
_atom_site_fract_x
_atom_site_fract_y
_atom_site_fract_z
Pm1 0.0000 0.0000 0.0000
Pm2 0.1539 0.3461 0.1421
Bi1 0.0000 0.0000 0.2500
Au1 0.1374 0.3626 0.5000